The following is a GGA-PBE calculation of a relaxed structure of PuCuGe, from OQMD via LeMat-Bulk.

Lattice parameters (Å, degrees): 4.4279 4.4279 4.4279 60.00 60.00 60.00
Atoms (fractional coordinates):
Pu: 0.0000 0.0000 0.0000
Cu: 0.7500 0.7500 0.7500
Ge: 0.5000 0.5000 0.5000

- SG: No. 216
- Raw total energy: -7.70 eV per atom

The following is a GGA-PBE calculation of a relaxed structure of PrBiB4, from OQMD via LeMat-Bulk.

Lattice parameters (Å, degrees): 5.5528 5.5528 5.5528 145.98 121.13 69.77
Atoms (fractional coordinates):
Pr: 0.0000 0.0000 0.0000
Bi: 0.5000 0.5000 0.0000
B: 0.0655 0.7416 0.3239
B: 0.4177 0.7416 0.6761
B: 0.5823 0.2584 0.3239
B: 0.9345 0.2584 0.6761

- Energy above the most stable polymorph in this dataset: 0.0 meV/atom
- SG: No. 71

no.,total moment (μB per formula unit)
1,5.00
2,0.00